First-principles (PBE) data for a relaxed GdTl2Sb crystal, as listed in Alexandria.

Cell lengths 4.640, 4.640, 5.183 Å; angles 90.00, 90.00, 90.00 degrees
Fractional coordinates of all 4 atoms:
Gd1 0.000 0.000 0.000
Tl1 0.000 0.500 0.500
Tl2 0.500 0.000 0.500
Sb1 0.500 0.500 0.000

Summary:
E_form (uncorrected) = -0.404 eV/atom
DFT total energy = -6.14 eV per atom
Energy above the lowest structure with this stoichiometry = 0.000 eV per formula unit